# Mg5TlPd6

Crystalline Mg5TlPd6 at its relaxed geometry (PBE-GGA, Alexandria).

Lattice parameters (Å, degrees): 4.530 7.892 7.892 120.04 106.68 106.68
Fractional positions:
Mg (0.500, 0.166, 0.834)
Mg (0.000, 0.332, 0.668)
Mg (0.500, 0.500, 0.500)
Mg (0.000, 0.668, 0.332)
Mg (0.500, 0.834, 0.166)
Tl (0.000, 0.000, 0.000)
Pd (0.256, 0.085, 0.426)
Pd (0.744, 0.574, 0.915)
Pd (0.764, 0.264, 0.264)
Pd (0.236, 0.736, 0.736)
Pd (0.256, 0.426, 0.085)
Pd (0.744, 0.915, 0.574)

Energy of formation: -0.63 eV/atom
Spin magnetization: 0.00 μB per formula unit
SG: No. 71
Theoretical density: 8.0 Mg/m³

***

# CeGd2Cl

Crystalline CeGd2Cl at its relaxed geometry (PBE-GGA, Alexandria).

Lattice parameters (Å, degrees): 3.605 3.605 10.147 79.77 79.77 60.00
Fractional positions:
Gd (0.741, 0.741, 0.778)
Gd (0.259, 0.259, 0.222)
Ce (0.500, 0.500, 0.500)
Cl (0.000, 0.000, 0.000)

Uncorrected formation energy: -644.7 meV per atom
Spin magnetization: 13.44 μB per formula unit
SG: No. 166
Theoretical density: 7.3 Mg/m³

***

# TbHo2Tm3Bi6

Crystalline TbHo2Tm3Bi6 at its relaxed geometry (PBE-GGA, Alexandria).

Lattice parameters (Å, degrees): 4.448 8.898 9.946 102.86 102.92 90.00
Fractional positions:
Tb (0.500, 0.000, 0.000)
Ho (0.833, 0.667, 0.666)
Ho (0.167, 0.333, 0.334)
Tm (0.500, 0.500, 0.000)
Tm (0.834, 0.167, 0.667)
Tm (0.166, 0.833, 0.333)
Bi (0.332, 0.918, 0.664)
Bi (0.666, 0.584, 0.332)
Bi (0.668, 0.082, 0.336)
Bi (0.000, 0.253, 0.999)
Bi (0.000, 0.747, 0.001)
Bi (0.334, 0.416, 0.668)

Energy of formation: -0.82 eV/atom
Spin magnetization: 0.00 μB per formula unit
SG: No. 12
Theoretical density: 10.0 Mg/m³

***

# Gd3HoTc

Crystalline Gd3HoTc at its relaxed geometry (PBE-GGA, Alexandria).

Lattice parameters (Å, degrees): 5.391 5.391 5.391 90.00 90.00 90.00
Fractional positions:
Gd (0.000, 0.500, 0.000)
Gd (0.000, 0.000, 0.500)
Gd (0.500, 0.000, 0.000)
Ho (0.500, 0.500, 0.500)
Tc (0.000, 0.000, 0.000)

Energy of formation: 0.13 eV/atom
Spin magnetization: 21.95 μB per formula unit
SG: No. 221
Theoretical density: 7.8 Mg/m³

***

# LaRuBr2

Crystalline LaRuBr2 at its relaxed geometry (PBE-GGA, Alexandria).

Lattice parameters (Å, degrees): 5.055 5.055 5.055 60.00 60.00 60.00
Fractional positions:
Ru (0.000, 0.000, 0.000)
Br (0.250, 0.250, 0.250)
Br (0.750, 0.750, 0.750)
La (0.500, 0.500, 0.500)

Uncorrected formation energy: -252.6 meV per atom
Offset from the most stable computed form: 500.0 meV per atom
Spin magnetization: 1.14 μB per formula unit
SG: No. 225
Theoretical density: 7.3 Mg/m³

***

# BaBiOs2

Crystalline BaBiOs2 at its relaxed geometry (PBE-GGA, Alexandria).

Lattice parameters (Å, degrees): 7.982 7.982 6.498 52.11 52.11 90.00
Fractional positions:
Os (0.680, 0.125, 0.250)
Os (0.070, 0.625, 0.250)
Os (0.375, 0.320, 0.750)
Os (0.875, 0.930, 0.750)
Bi (0.000, 0.000, 0.000)
Bi (0.750, 0.250, 0.500)
Ba (0.500, 0.500, 0.000)
Ba (0.250, 0.750, 0.500)

Energy of formation: 1.46 eV/atom
Spin magnetization: 0.00 μB per formula unit
SG: No. 122
Theoretical density: 11.8 Mg/m³

***

# HgS2Cl

Crystalline HgS2Cl at its relaxed geometry (PBE-GGA, Alexandria).

Lattice parameters (Å, degrees): 10.747 10.747 10.747 16.44 16.44 16.44
Fractional positions:
S (0.924, 0.924, 0.924)
S (0.076, 0.076, 0.076)
Hg (0.000, 0.000, 0.000)
Cl (0.500, 0.500, 0.500)

Uncorrected formation energy: 677.3 meV per atom
Offset from the most stable computed form: 761.9 meV per atom
Spin magnetization: 0.00 μB per formula unit
SG: No. 166
Theoretical density: 5.8 Mg/m³

***

# CaSc2Sb2

Crystalline CaSc2Sb2 at its relaxed geometry (PBE-GGA, Alexandria).

Lattice parameters (Å, degrees): 8.120 8.120 3.926 90.00 90.00 90.00
Fractional positions:
Sc (0.147, 0.647, 0.500)
Sc (0.647, 0.853, 0.500)
Sc (0.853, 0.353, 0.500)
Sc (0.353, 0.147, 0.500)
Sb (0.350, 0.850, 0.000)
Sb (0.850, 0.650, 0.000)
Sb (0.650, 0.150, 0.000)
Sb (0.150, 0.350, 0.000)
Ca (0.000, 0.000, 0.000)
Ca (0.500, 0.500, 0.000)

Uncorrected formation energy: -746.1 meV per atom
Offset from the most stable computed form: 0.0 meV per atom
Spin magnetization: 0.00 μB per formula unit
SG: No. 127
Theoretical density: 4.8 Mg/m³

***

# ZnCd4O5

Crystalline ZnCd4O5 at its relaxed geometry (PBE-GGA, Alexandria).

Lattice parameters (Å, degrees): 4.769 5.749 5.749 80.09 65.49 65.49
Fractional positions:
Zn (0.024, 0.000, 0.000)
Cd (0.405, 0.396, 0.801)
Cd (0.801, 0.801, 0.604)
Cd (0.206, 0.199, 0.396)
Cd (0.603, 0.604, 0.199)
O (0.911, 0.370, 0.806)
O (0.281, 0.806, 0.630)
O (0.717, 0.194, 0.370)
O (0.087, 0.630, 0.194)
O (0.475, 0.000, 0.000)

Uncorrected formation energy: -1047.4 meV per atom
Offset from the most stable computed form: 7.2 meV per atom
Spin magnetization: 0.00 μB per formula unit
SG: No. 79
Theoretical density: 7.6 Mg/m³

***

# SbPbW2

Crystalline SbPbW2 at its relaxed geometry (PBE-GGA, Alexandria).

Lattice parameters (Å, degrees): 3.389 5.185 4.567 90.00 90.00 90.00
Fractional positions:
Pb (0.500, 0.000, 0.500)
Sb (0.000, 0.500, 0.500)
W (0.000, 0.000, 0.000)
W (0.500, 0.500, 0.000)

Uncorrected formation energy: 1174.0 meV per atom
Offset from the most stable computed form: 796.5 meV per atom
Spin magnetization: 0.00 μB per formula unit
SG: No. 47
Theoretical density: 14.4 Mg/m³

***

# Zr5ZnAu

Crystalline Zr5ZnAu at its relaxed geometry (PBE-GGA, Alexandria).

Lattice parameters (Å, degrees): 5.830 5.830 11.205 70.85 70.85 62.44
Fractional positions:
Zr (0.995, 0.544, 0.200)
Zr (0.262, 0.448, 0.505)
Zr (0.544, 0.995, 0.700)
Zr (0.029, 0.971, 0.250)
Zr (0.552, 0.738, 0.995)
Zr (0.448, 0.262, 0.005)
Zr (0.971, 0.029, 0.750)
Zr (0.456, 0.005, 0.300)
Zr (0.738, 0.552, 0.495)
Zr (0.005, 0.456, 0.800)
Zn (0.000, 0.000, 0.000)
Zn (0.000, 0.000, 0.500)
Au (0.532, 0.468, 0.250)
Au (0.468, 0.532, 0.750)

Energy of formation: 0.03 eV/atom
Spin magnetization: 0.00 μB per formula unit
SG: No. 15
Theoretical density: 7.7 Mg/m³

***

# Tm3Zr2Ag2

Crystalline Tm3Zr2Ag2 at its relaxed geometry (PBE-GGA, Alexandria).

Lattice parameters (Å, degrees): 4.792 3.271 11.138 90.00 77.58 90.00
Fractional positions:
Tm (0.853, 0.000, 0.295)
Tm (0.000, 0.000, 0.000)
Tm (0.147, 0.000, 0.705)
Zr (0.721, 0.500, 0.559)
Zr (0.279, 0.500, 0.441)
Ag (0.573, 0.500, 0.854)
Ag (0.427, 0.500, 0.146)

Energy of formation: 0.01 eV/atom
Spin magnetization: 0.00 μB per formula unit
SG: No. 65
Theoretical density: 8.8 Mg/m³

***

The records above yield volume values of 199.9 111.8 373.6 156.7 91.3 205.2 86.6 258.8 130.5 80.3 311.8 170.5 Å³ per cell, respectively.